A relaxed structure of AgHPdRh2, computed with PBE-GGA. Values from VASP.

* magnetic moment: 0.74 μB/atom
* symmetry: P4/mmm (123)
* excess energy over the best structure of this formula in the dataset: 45.62 kcal/mol of atoms
* calculated total energy: -15.57 eV for the cell shown
* ρ: 5784 kg/m³

```
&SYSTEM
  ibrav = 0, nat = 5, ntyp = 4
/
ATOMIC_SPECIES
Ag 107.87 Ag.upf
H 1.01 H.upf
Pd 106.42 Pd.upf
Rh 102.91 Rh.upf
ATOMIC_POSITIONS angstrom
Ag 0.0000 0.0000 0.0000
H 2.4663 2.4663 2.4845
Pd 0.0000 0.0000 2.4845
Rh 0.0000 2.4663 0.0000
Rh 2.4663 0.0000 0.0000
CELL_PARAMETERS angstrom
4.9325 0.0000 0.0000
0.0000 4.9325 0.0000
0.0000 0.0000 4.9690
```